[1]
VASP calculation (PBE-GGA) on a relaxed AlIrRuO6 crystal.

It has space group P-31c (No. 163), with a = 4.9745 Å, b = 4.9745 Å, c = 8.4700 Å, α = 90.00°, β = 90.00° and γ = 120.00°. The inequivalent atoms are Al at (0.3333, 0.6667, 0.2500), Ir at (0.3333, 0.6667, 0.7500), Ru at (0.0000, 0.0000, 0.0000) and O at (0.0147, 0.3437, 0.1283).

Its calculated volume is 181.5 Å³ per cell. The uncorrected energy comes out at -7.10 eV per atom.

[2]
VASP calculation (PBE-GGA) on a relaxed AlSbIrO6 crystal.

It has space group P-31c (No. 163), with a = 5.0054 Å, b = 5.0054 Å, c = 8.8009 Å, α = 90.00°, β = 90.00° and γ = 120.00°. The inequivalent atoms are Al at (0.3333, 0.6667, 0.2500), Sb at (0.0000, 0.0000, 0.0000), Ir at (0.3333, 0.6667, 0.7500) and O at (0.0152, 0.3503, 0.1291).

Its calculated volume is 191.0 Å³ per cell. The uncorrected energy comes out at -6.70 eV per atom.

[3]
VASP calculation (PBE-GGA) on a relaxed ScAlIrO6 crystal.

It has space group P-31c (No. 163), with a = 5.0098 Å, b = 5.0098 Å, c = 9.1003 Å, α = 90.00°, β = 90.00° and γ = 120.00°. The inequivalent atoms are Sc at (0.0000, 0.0000, 0.0000), Al at (0.3333, 0.6667, 0.2500), Ir at (0.3333, 0.6667, 0.7500) and O at (0.0063, 0.3518, 0.1367).

Its calculated volume is 197.8 Å³ per cell. The uncorrected energy comes out at -7.44 eV per atom.